A plane-wave DFT calculation with PBE was carried out for an optimized crystal structure of BeSbMoI2.

Output
- magnetization (μB/f.u.) = 1.675
- mass density (g/cm3) = 4.80
- total DFT energy (no corrections) (eV for the cell shown) = -16.80
- symmetry = P4/mmm

a = 5.611 Å, b = 5.611 Å, c = 5.281 Å
α = 90.00°, β = 90.00°, γ = 90.00°
Fractional coordinates of all 5 atoms:
Be 0.000 0.000 0.000
Sb 0.500 0.500 0.000
Mo 0.500 0.500 0.500
I 0.000 0.500 0.500
I 0.500 0.000 0.500